# 1
VASP calculation (GGA-PBE) on a relaxed ErTm2Os crystal.

The structure belongs to space group R-3m (No. 166, hexagonal axes); the cell edges are 3.3735, 3.3735 and 32.2794 Å and the angles 90.00°, 90.00° and 120.00°. The distinct sites, in fractional coordinates, are Er at (0.0000, 0.0000, 0.0000), Tm at (0.0000, 0.0000, 0.1045) and Os at (0.0000, 0.0000, 0.5000).

As for the energy relative to the elements: 0.232 eV per atom. The crystal system is trigonal. Its size of the total moment is 1.527 μB per cell. Its energy above the most stable polymorph in this dataset is 12.44 kcal/mol of atoms. For the mass density, the calculation gives 10.9 g/cm³. Its electronic total energy is -71.425 eV for the cell shown.


# 2
VASP calculation (GGA-PBE) on a relaxed K3TlCu2Br8 crystal.

The structure belongs to space group P-3m1 (No. 164); the cell edges are 7.8264, 7.8264 and 9.3760 Å and the angles 90.00°, 90.00° and 120.00°. The distinct sites, in fractional coordinates, are K at (0.0000, 0.0000, 0.0000), K at (0.3333, 0.6667, 0.6058), Tl at (0.0000, 0.0000, 0.5000), Cu at (0.3333, 0.6667, 0.1893), Br at (0.1720, 0.3440, 0.3107) and Br at (0.3333, 0.6667, 0.9435).

The crystal system is trigonal. Its size of the total moment is 0.000 μB per cell. For the mass density, the calculation gives 3.6 g/cm³. The value obtained for the raw formation energy is -956.2 meV per atom. Its electronic total energy is -40.621 eV for the cell shown.


Question: Which of these has the highest mass density?
Answer: ErTm2Os